No. 1
## SbOs (PBE-GGA)

Data for crystalline SbOs at its relaxed geometry.

Space-group type: I4/m

Lattice parameters (Å, degrees): 7.7671 7.7671 7.7671 93.90 93.90 149.75
With the nearest neighbours (Å) after each atom.
Sites, in units of the cell vectors:
Sb (0.0468, 0.2944, 0.3412)  4 Os 2.57-2.77
Sb (0.2944, 0.9532, 0.2476)  4 Os 2.57-2.77
Sb (0.7056, 0.0468, 0.7524)  4 Os 2.57-2.77
Sb (0.9532, 0.7056, 0.6588)  4 Os 2.57-2.77
Os (0.1951, 0.7111, 0.9063)  2 Os 2.48, 4 Sb 2.57-2.77
Os (0.2889, 0.1951, 0.4840)  2 Os 2.48, 4 Sb 2.57-2.77
Os (0.7111, 0.8049, 0.5160)  2 Os 2.48, 4 Sb 2.57-2.77
Os (0.8049, 0.2889, 0.0937)  2 Os 2.48, 4 Sb 2.57-2.77

No. 2
## NbMo2W6 (PBE-GGA)

Data for crystalline NbMo2W6 at its relaxed geometry.

Energy above the most stable polymorph in this dataset: 0 meV/atom
Energy relative to the elements: 329 meV/atom
Space-group type: R-3m

Lattice parameters (Å, degrees): 9.4463 9.4463 9.4463 27.24 27.24 27.24
With the nearest neighbours (Å) after each atom.
Sites, in units of the cell vectors:
Nb (0.0000, 0.0000, 0.0000)  6 W 2.74, 2 Mo 2.79
Mo (0.1024, 0.1024, 0.1024)  7 W 2.57-2.73, 1 Nb 2.79
Mo (0.8976, 0.8976, 0.8976)  7 W 2.57-2.73, 1 Nb 2.79
W (0.1967, 0.1967, 0.1967)  4 Mo 2.57-2.73, 1 W 2.76
W (0.2979, 0.2979, 0.2979)  5 W 2.73-2.84, 3 Nb 2.74
W (0.4021, 0.4021, 0.4021)  4 W 2.73-2.84, 3 Mo 2.73
W (0.5979, 0.5979, 0.5979)  4 W 2.73-2.84, 3 Mo 2.73
W (0.7021, 0.7021, 0.7021)  5 W 2.73-2.84, 3 Nb 2.74
W (0.8033, 0.8033, 0.8033)  4 Mo 2.57-2.73, 1 W 2.76

V values (in A^3/atom) by entry order: 28.49, 17.31.
DFT total energy values (in eV/f.u.) by entry order: -14.12, -106.49.